The following is a DFT calculation (GGA-PBE) of a geometry-optimized ThTeAs structure.

Cell and atoms, written as POSCAR:
```
ThTeAs
1.0
-3.0741 0.2870 -2.9599
-2.0555 -4.1139 1.7360
-1.3369 4.3694 1.8121
As Te Th
1 1 1
direct
0.1671 0.0000 0.0000
0.6666 0.6667 0.3333
0.1663 0.3333 0.6667
```

Values from the calculation:
ΔE_f (raw): -0.675 eV per atom
size of the total moment: 0.00 μB per formula unit
space-group type: No. 187